# CeSm4Sb5, relaxed, DFT PBE-GGA
# Energy relative to the elements, uncorrected ... -1.15 eV per atom
# D(E_F) ... 0.7153 states/eV per atom
# Energy above the lowest structure with this stoichiometry ... 0 meV per atom
# Total moment ... 0.68 μB per formula unit
data_CeSm4Sb5
_cell_length_a 4.4770
_cell_length_b 6.3263
_cell_length_c 22.3858
_cell_angle_alpha 90.00
_cell_angle_beta 90.00
_cell_angle_gamma 90.00
_space_group_name_H-M_alt 'I m m m'
_space_group_IT_number 71
_space_group_name_Hall '-I 2 2'
loop_
_atom_site_label
_atom_site_type_symbol
_atom_site_fract_x
_atom_site_fract_y
_atom_site_fract_z
Ce1 Ce 0.0000 0.0000 0.0000
Sm1 Sm 0.0000 0.0000 0.2010
Sm2 Sm 0.0000 0.0000 0.3992
Sb1 Sb 0.0000 0.5000 0.0000
Sb2 Sb 0.0000 0.5000 0.2001
Sb3 Sb 0.0000 0.5000 0.4002

***

# Li3DyS3, relaxed, DFT PBE-GGA
# Energy relative to the elements, uncorrected ... -1.61 eV per atom
# D(E_F) ... 0.0000 states/eV per atom
# Total moment ... 0.00 μB per formula unit
data_Li3DyS3
_cell_length_a 6.9981
_cell_length_b 6.9981
_cell_length_c 19.3248
_cell_angle_alpha 90.00
_cell_angle_beta 90.00
_cell_angle_gamma 120.00
_space_group_name_H-M_alt 'R -3'
_space_group_IT_number 148
_space_group_name_Hall '-R 3'
loop_
_atom_site_label
_atom_site_type_symbol
_atom_site_fract_x
_atom_site_fract_y
_atom_site_fract_z
Li1 Li 0.0096 0.7051 0.1210
Dy1 Dy 0.0000 0.0000 0.3335
S1 S 0.0042 0.6381 0.9166

***

# CdFe2Tc, relaxed, DFT PBE-GGA
# Formation energy ... 0.35 eV/atom
# D(E_F) ... 0.9331 states/eV per atom
# Total moment ... 4.94 μB per formula unit
data_CdFe2Tc
_cell_length_a 2.6428
_cell_length_b 4.1366
_cell_length_c 5.4675
_cell_angle_alpha 90.00
_cell_angle_beta 102.41
_cell_angle_gamma 90.00
_space_group_name_H-M_alt 'P 1 m 1'
_space_group_IT_number 6
_space_group_name_Hall 'P -2y'
loop_
_atom_site_label
_atom_site_type_symbol
_atom_site_fract_x
_atom_site_fract_y
_atom_site_fract_z
Cd1 Cd 0.0000 0.0000 0.0000
Fe1 Fe 0.5432 0.5000 0.2632
Fe2 Fe 0.9351 0.0000 0.4901
Tc1 Tc 0.4040 0.5000 0.6965

***

# HfAlSi3, relaxed, DFT PBE-GGA
# Energy relative to the elements, uncorrected ... 0.83 eV per atom
# D(E_F) ... 0.3588 states/eV per atom
# Total moment ... 0.00 μB per formula unit
data_HfAlSi3
_cell_length_a 5.0475
_cell_length_b 5.0475
_cell_length_c 5.0475
_cell_angle_alpha 90.00
_cell_angle_beta 90.00
_cell_angle_gamma 90.00
_space_group_name_H-M_alt 'P m -3 m'
_space_group_IT_number 221
_space_group_name_Hall '-P 4 2 3'
loop_
_atom_site_label
_atom_site_type_symbol
_atom_site_fract_x
_atom_site_fract_y
_atom_site_fract_z
Hf1 Hf 0.0000 0.0000 0.0000
Al1 Al 0.5000 0.5000 0.5000
Si1 Si 0.0000 0.0000 0.5000

***

# OsSe, relaxed, DFT PBE-GGA
# Energy relative to the elements, uncorrected ... 0.29 eV per atom
# D(E_F) ... 0.4772 states/eV per atom
# Total moment ... 0.00 μB per formula unit
data_OsSe
_cell_length_a 8.5593
_cell_length_b 3.7383
_cell_length_c 6.3096
_cell_angle_alpha 90.00
_cell_angle_beta 96.11
_cell_angle_gamma 90.00
_space_group_name_H-M_alt 'C 1 2/m 1'
_space_group_IT_number 12
_space_group_name_Hall '-C 2y'
loop_
_atom_site_label
_atom_site_type_symbol
_atom_site_fract_x
_atom_site_fract_y
_atom_site_fract_z
Os1 Os 0.1318 0.0000 0.4667
Se1 Se 0.1652 0.5000 0.2266

***

# InBiRuO6, relaxed, DFT PBE-GGA
# Energy relative to the elements, uncorrected ... -1.07 eV per atom
# D(E_F) ... 0.3977 states/eV per atom
# Total moment ... 1.91 μB per formula unit
data_InBiRuO6
_cell_length_a 5.4575
_cell_length_b 5.4575
_cell_length_c 9.4959
_cell_angle_alpha 90.00
_cell_angle_beta 90.00
_cell_angle_gamma 120.00
_space_group_name_H-M_alt 'P -3 1 c'
_space_group_IT_number 163
_space_group_name_Hall '-P 3 2c'
loop_
_atom_site_label
_atom_site_type_symbol
_atom_site_fract_x
_atom_site_fract_y
_atom_site_fract_z
In1 In 0.3333 0.6667 0.2500
Bi1 Bi 0.0000 0.0000 0.0000
Ru1 Ru 0.3333 0.6667 0.7500
O1 O 0.0308 0.3779 0.6341

***

# Ho3ErPd3, relaxed, DFT PBE-GGA
# Formation energy ... -0.72 eV/atom
# D(E_F) ... 0.7926 states/eV per atom
# Energy above the lowest structure with this stoichiometry ... 0 meV per atom
# Total moment ... 0.00 μB per formula unit
data_Ho3ErPd3
_cell_length_a 9.8032
_cell_length_b 9.8032
_cell_length_c 6.0103
_cell_angle_alpha 90.00
_cell_angle_beta 90.00
_cell_angle_gamma 120.00
_space_group_name_H-M_alt 'R -3 m'
_space_group_IT_number 166
_space_group_name_Hall '-R 3 2"'
loop_
_atom_site_label
_atom_site_type_symbol
_atom_site_fract_x
_atom_site_fract_y
_atom_site_fract_z
Ho1 Ho 0.0000 0.5000 0.0000
Er1 Er 0.0000 0.0000 0.0000
Pd1 Pd 0.0000 0.5000 0.5000

***

# Cs3GaRu, relaxed, DFT PBE-GGA
# Formation energy ... 0.99 eV/atom
# D(E_F) ... 1.7073 states/eV per atom
# Energy above the lowest structure with this stoichiometry ... 0 meV per atom
# Total moment ... 0.00 μB per formula unit
data_Cs3GaRu
_cell_length_a 5.9970
_cell_length_b 5.9970
_cell_length_c 5.9970
_cell_angle_alpha 90.00
_cell_angle_beta 90.00
_cell_angle_gamma 90.00
_space_group_name_H-M_alt 'P m -3 m'
_space_group_IT_number 221
_space_group_name_Hall '-P 4 2 3'
loop_
_atom_site_label
_atom_site_type_symbol
_atom_site_fract_x
_atom_site_fract_y
_atom_site_fract_z
Cs1 Cs 0.0000 0.0000 0.5000
Ga1 Ga 0.5000 0.5000 0.5000
Ru1 Ru 0.0000 0.0000 0.0000

***

# NiWCl, relaxed, DFT PBE-GGA
# Energy relative to the elements, uncorrected ... 0.48 eV per atom
# D(E_F) ... 0.9031 states/eV per atom
# Energy above the lowest structure with this stoichiometry ... 195 meV per atom
# Total moment ... 0.00 μB per formula unit
data_NiWCl
_cell_length_a 3.0374
_cell_length_b 4.8828
_cell_length_c 12.4657
_cell_angle_alpha 90.00
_cell_angle_beta 90.00
_cell_angle_gamma 90.00
_space_group_name_H-M_alt 'F m m 2'
_space_group_IT_number 42
_space_group_name_Hall 'F 2 -2'
loop_
_atom_site_label
_atom_site_type_symbol
_atom_site_fract_x
_atom_site_fract_y
_atom_site_fract_z
Ni1 Ni 0.0000 0.0000 0.0000
W1 W 0.0000 0.0000 0.6534
Cl1 Cl 0.0000 0.0000 0.3236

***

# Ce2MgRh, relaxed, DFT PBE-GGA
# Formation energy ... -0.02 eV/atom
# D(E_F) ... 2.5521 states/eV per atom
# Energy above the lowest structure with this stoichiometry ... 311 meV per atom
# Total moment ... 2.32 μB per formula unit
data_Ce2MgRh
_cell_length_a 3.6720
_cell_length_b 3.6720
_cell_length_c 31.3974
_cell_angle_alpha 90.00
_cell_angle_beta 90.00
_cell_angle_gamma 120.00
_space_group_name_H-M_alt 'R -3 m'
_space_group_IT_number 166
_space_group_name_Hall '-R 3 2"'
loop_
_atom_site_label
_atom_site_type_symbol
_atom_site_fract_x
_atom_site_fract_y
_atom_site_fract_z
Ce1 Ce 0.0000 0.0000 0.1097
Mg1 Mg 0.0000 0.0000 0.0000
Rh1 Rh 0.0000 0.0000 0.5000

***

# Cd2W, relaxed, DFT PBE-GGA
# Formation energy ... 0.90 eV/atom
# D(E_F) ... 0.4763 states/eV per atom
# Energy above the lowest structure with this stoichiometry ... 454 meV per atom
# Total moment ... 0.00 μB per formula unit
data_Cd2W
_cell_length_a 5.3525
_cell_length_b 5.3525
_cell_length_c 8.9900
_cell_angle_alpha 90.00
_cell_angle_beta 90.00
_cell_angle_gamma 120.00
_space_group_name_H-M_alt 'P 63/m m c'
_space_group_IT_number 194
_space_group_name_Hall '-P 6c 2c'
loop_
_atom_site_label
_atom_site_type_symbol
_atom_site_fract_x
_atom_site_fract_y
_atom_site_fract_z
Cd1 Cd 0.0000 0.0000 0.0000
Cd2 Cd 0.1708 0.3417 0.2500
W1 W 0.3333 0.6667 0.5505

***

# Pr4Sm5Er2, relaxed, DFT PBE-GGA
# Formation energy ... 0.10 eV/atom
# D(E_F) ... 1.5269 states/eV per atom
# Energy above the lowest structure with this stoichiometry ... 0 meV per atom
# Total moment ... 0.00 μB per formula unit
data_Pr4Sm5Er2
_cell_length_a 24.3347
_cell_length_b 3.5764
_cell_length_c 8.8087
_cell_angle_alpha 90.00
_cell_angle_beta 94.40
_cell_angle_gamma 90.00
_space_group_name_H-M_alt 'C 1 2/m 1'
_space_group_IT_number 12
_space_group_name_Hall '-C 2y'
loop_
_atom_site_label
_atom_site_type_symbol
_atom_site_fract_x
_atom_site_fract_y
_atom_site_fract_z
Pr1 Pr 0.0405 0.0000 0.3457
Pr2 Pr 0.2259 0.5000 0.8253
Sm1 Sm 0.0000 0.5000 0.0000
Sm2 Sm 0.1299 0.0000 0.0446
Sm3 Sm 0.1842 0.0000 0.4753
Er1 Er 0.0875 0.5000 0.6976

***

Across the entries above, DFT total energy takes the values -5.70, -4.86, -6.71, -5.16, -7.07, -6.14, -5.56, -1.98, -6.38, -5.23, -4.03, -4.61 eV per atom, respectively.